The following is a PBE calculation of a relaxed Ca3TlHg4 crystal, from Alexandria via LeMat-Bulk.

Results
* distance to the lowest polymorph of the same formula: 0.077 eV/atom
* energy relative to the elements: -0.364 eV/atom
* crystal system: orthorhombic

```
data_Ca3TlHg4
_chemical_formula_sum 'Ca6 Tl2 Hg8'
_symmetry_space_group_name_H-M 'I m m m'
_symmetry_Int_Tables_number 71
_symmetry_space_group_name_Hall '-I 2 2'
_cell_length_a 3.906
_cell_length_b 7.930
_cell_length_c 15.161
_cell_angle_alpha 90.00
_cell_angle_beta 90.00
_cell_angle_gamma 90.00
loop_
_atom_site_label
_atom_site_fract_x
_atom_site_fract_y
_atom_site_fract_z
_atom_site_occupancy
Ca1 0.000 0.000 0.000 1
Ca2 0.000 0.500 0.182 1
Tl1 0.000 0.000 0.500 1
Hg1 0.000 0.307 0.361 1
```

The following is a PBE calculation of a relaxed MgAg2PdF6 crystal, from Alexandria via LeMat-Bulk.

Results
* raw formation energy: -1795 meV per atom
* crystal system: monoclinic

```
data_MgAg2PdF6
_chemical_formula_sum 'Mg2 Ag4 Pd2 F12'
_symmetry_space_group_name_H-M 'C 1 2/m 1'
_symmetry_Int_Tables_number 12
_cell_length_a 10.891
_cell_length_b 5.531
_cell_length_c 4.890
_cell_angle_alpha 90.00
_cell_angle_beta 107.02
_cell_angle_gamma 90.00
loop_
_symmetry_equiv_pos_as_xyz
'x,y,z'
'-x,-y,-z'
'-x,y,-z'
'x,-y,z'
'x+1/2,y+1/2,z'
'-x+1/2,-y+1/2,-z'
'-x+1/2,y+1/2,-z'
'x+1/2,-y+1/2,z'
loop_
_atom_site_label
_atom_site_fract_x
_atom_site_fract_y
_atom_site_fract_z
_atom_site_occupancy
Mg1 0.000 0.000 0.000 1
Ag1 0.218 0.500 0.236 1
Pd1 0.000 0.500 0.500 1
F1 0.079 0.257 0.803 1
F2 0.167 0.000 0.288 1
```

The following is a PBE calculation of a relaxed CdPSe4 crystal, from Alexandria via LeMat-Bulk.

Results
* raw formation energy: 745 meV per atom
* crystal system: cubic

```
data_CdPSe4
_chemical_formula_sum 'Cd4 P4 Se16'
_symmetry_space_group_name_H-M 'F -4 3 m'
_symmetry_Int_Tables_number 216
_symmetry_space_group_name_Hall 'F -4 2 3'
_cell_length_a 8.040
_cell_length_b 8.040
_cell_length_c 8.040
_cell_angle_alpha 90.00
_cell_angle_beta 90.00
_cell_angle_gamma 90.00
loop_
_atom_site_label
_atom_site_fract_x
_atom_site_fract_y
_atom_site_fract_z
_atom_site_occupancy
Cd1 0.000 0.000 0.000 1
P1 0.250 0.250 0.750 1
Se1 0.125 0.125 0.375 1
```

The following is a PBE calculation of a relaxed La3TlO6 crystal, from Alexandria via LeMat-Bulk.

Results
* raw formation energy: -2768 meV per atom
* crystal system: orthorhombic

```
data_La3TlO6
_chemical_formula_sum 'La12 Tl4 O24'
_symmetry_space_group_name_H-M 'C m c 21'
_symmetry_Int_Tables_number 36
_cell_length_a 9.547
_cell_length_b 11.990
_cell_length_c 5.908
_cell_angle_alpha 90.00
_cell_angle_beta 90.00
_cell_angle_gamma 90.00
loop_
_symmetry_equiv_pos_as_xyz
'x,y,z'
'-x,-y,z+1/2'
'-x,y,z'
'x,-y,z+1/2'
'x+1/2,y+1/2,z'
'-x+1/2,-y+1/2,z+1/2'
'-x+1/2,y+1/2,z'
'x+1/2,-y+1/2,z+1/2'
loop_
_atom_site_label
_atom_site_fract_x
_atom_site_fract_y
_atom_site_fract_z
_atom_site_occupancy
La1 0.000 0.102 0.000 1
La2 0.199 0.392 0.047 1
Tl1 0.000 0.320 0.565 1
O1 0.000 0.281 0.214 1
O2 0.000 0.474 0.763 1
O3 0.159 0.014 0.275 1
O4 0.163 0.234 0.771 1
```

The following is a PBE calculation of a relaxed HfTa3Sn crystal, from Alexandria via LeMat-Bulk.

Results
* distance to the lowest polymorph of the same formula: 0.000 eV/atom
* energy relative to the elements: 1.695 eV/atom
* crystal system: cubic

```
data_HfTa3Sn
_chemical_formula_sum 'Hf1 Ta3 Sn1'
_symmetry_space_group_name_H-M 'P m -3 m'
_symmetry_Int_Tables_number 221
_symmetry_space_group_name_Hall '-P 4 2 3'
_cell_length_a 4.989
_cell_length_b 4.989
_cell_length_c 4.989
_cell_angle_alpha 90.00
_cell_angle_beta 90.00
_cell_angle_gamma 90.00
loop_
_atom_site_label
_atom_site_fract_x
_atom_site_fract_y
_atom_site_fract_z
_atom_site_occupancy
Hf1 0.000 0.000 0.000 1
Ta1 0.000 0.500 0.500 1
Sn1 0.500 0.500 0.500 1
```